First-principles (PBE) data for crystalline Ta2BeCu at its relaxed geometry, as listed in the Alexandria database.

Values from the calculation:
As for the energy of formation from the pure elements: 0.5479 eV/atom. As for the total magnetization: 0.0 μB/f.u.

Geometry as extended XYZ:
```
8
Lattice="-3.418 3.418 2.607 3.418 -3.418 2.607 3.418 3.418 -2.607" Properties=species:S:1:pos:R:3 pbc="T T T"
Ta 5.127 1.639 -0.652
Ta 1.639 1.709 0.652
Ta -1.709 1.779 1.956
Ta 1.779 1.709 3.259
Be 0.000 0.000 0.000
Be 0.000 3.418 1.304
Cu 3.418 0.000 1.304
Cu 0.000 0.000 2.607
```